12
Lattice="5.6431 0.0000 0.0000 2.8216 4.8871 0.0000 2.8216 1.6290 9.1654" Properties=species:S:1:pos:R:3 comment="RbBiW2O8 (PBE+U, optimized geometry)" energy_ev_per_cell=-80.526 space_group=R32 dos_ef_per_ev_cell=0.0 pbc="T T T"
Rb 0.0000 0.0000 0.0000
Bi 5.6431 3.2581 4.5827
W 8.4647 4.8871 6.6682
W 2.8216 1.6290 2.4971
O 8.4647 4.8871 8.4510
O 2.8216 1.6290 0.7143
O 4.5432 1.8050 3.0903
O 7.4515 3.4841 6.0751
O 4.5432 4.7112 6.0751
O 4.9347 4.9371 3.0903
O 7.4515 3.0321 3.0903
O 4.9347 1.5790 6.0751

***

4
Lattice="1.6302 0.0000 6.0285 -0.8151 1.4118 6.0285 -0.8151 -1.4118 6.0285" Properties=species:S:1:pos:R:3 comment="FeRhO2 (PBE+U, optimized geometry)" relative_energy_mev_per_atom=0 space_group=R-3m dos_ef_per_ev_cell=2.1 pbc="T T T"
Rh 0.0000 0.0000 0.0000
Fe 0.0000 0.0000 9.0427
O 0.0000 0.0000 16.0870
O 0.0000 0.0000 1.9985